VASP calculation (PBE with a Hubbard U) on a geometry-optimized SnMoP2O8 structure.

Cell and atoms, written as extended XYZ:
```
12
Lattice="4.917 -0.162 -0.053 2.124 4.438 -0.053 0.250 0.152 7.541" Properties=species:S:1:pos:R:3 pbc="T T T"
O 5.392 3.274 0.383
O 1.900 1.153 7.052
O 2.159 1.311 4.460
O 4.470 1.214 1.466
O 5.133 3.116 2.976
O 2.821 3.213 5.970
O 3.139 3.406 1.466
O 4.152 1.021 5.970
Sn 0.125 0.076 3.771
P 2.722 1.653 5.826
P 4.570 2.775 1.610
Mo 0.000 0.000 0.000
```

Calculated values
The calculation puts the total energy at -7.09 eV per atom. Its space-group type is No. 12.